4
Lattice="-2.9364 -2.4946 2.3888 -4.4512 0.3838 -0.7691 -2.2542 -3.3846 -2.0037" Properties=species:S:1:pos:R:3 comment="NaTaTcAs PBE optimized geometry" sg="F-43m, No. 216" e_tot_ha_per_atom=-0.247 pbc="T T T"
As 0.0000 0.0000 0.0000
Ta -2.4105 -1.3738 -0.0960
Tc -4.8209 -2.7477 -0.1920
Na -7.2314 -4.1215 -0.2880

***

5
Lattice="4.1448 0.0000 0.0000 0.0000 4.1448 0.0000 0.0000 0.0000 6.4591" Properties=species:S:1:pos:R:3 comment="Na2TbAs2 PBE optimized geometry" sg="P4/mmm, No. 123" e_tot_ha_per_atom=-0.140 pbc="T T T"
Na 2.0724 0.0000 3.2295
Tb 0.0000 0.0000 0.0000
As 2.0724 2.0724 1.2471
Na 0.0000 2.0724 3.2295
As 2.0724 2.0724 5.2119

***

3
Lattice="0.0000 3.1451 3.1451 3.1451 0.0000 3.1451 3.1451 3.1451 0.0000" Properties=species:S:1:pos:R:3 comment="NaTcAs PBE optimized geometry" sg="F-43m, No. 216" e_tot_ha_per_atom=-0.154 pbc="T T T"
As 1.5726 1.5726 1.5726
Tc 4.7177 4.7177 4.7177
Na 0.0000 0.0000 0.0000

***

3
Lattice="0.0000 3.0175 3.0175 3.0175 0.0000 3.0175 3.0175 3.0175 0.0000" Properties=species:S:1:pos:R:3 comment="NaTcAs PBE optimized geometry" sg="F-43m, No. 216" e_tot_ha_per_atom=-0.186 pbc="T T T"
Na 1.5088 1.5088 1.5088
As 0.0000 0.0000 0.0000
Tc 4.5263 4.5263 4.5263

***

Copy entry 3 word for word.
3
Lattice="0.0000 3.1451 3.1451 3.1451 0.0000 3.1451 3.1451 3.1451 0.0000" Properties=species:S:1:pos:R:3 comment="NaTcAs PBE optimized geometry" sg="F-43m, No. 216" e_tot_ha_per_atom=-0.154 pbc="T T T"
As 1.5726 1.5726 1.5726
Tc 4.7177 4.7177 4.7177
Na 0.0000 0.0000 0.0000